[1]
DFT (PBE) results for an optimized crystal structure of TbHoZnCu.

Properties
DFT formation energy = -0.29 eV per atom
distance to the lowest polymorph of the same formula = 7.4 meV/atom
symmetry = F-43m
N(E_F) = 2.3 states/eV/f.u.
crystal system = cubic

a = 4.9753 Å, b = 4.9753 Å, c = 4.9753 Å
α = 60.00°, β = 60.00°, γ = 60.00°
Last column: nearest neighbours and their distance in Å.
Fractional positions:
Tb 0.0000 0.0000 0.0000  4 Cu 3.05, 4 Zn 3.05
Ho 0.5000 0.5000 0.5000  4 Zn 3.05, 4 Cu 3.05
Zn 0.7500 0.7500 0.7500  4 Tb 3.05, 4 Ho 3.05
Cu 0.2500 0.2500 0.2500  4 Ho 3.05, 4 Tb 3.05

***

[2]
DFT (PBE) results for an optimized crystal structure of TbHoZnCu.

Properties
DFT formation energy = -0.29 eV per atom
distance to the lowest polymorph of the same formula = 0.0 meV/atom
symmetry = P4mm
N(E_F) = 2.8 states/eV/f.u.
crystal system = tetragonal

a = 3.5112 Å, b = 3.5112 Å, c = 7.0662 Å
α = 90.00°, β = 90.00°, γ = 90.00°
Last column: nearest neighbours and their distance in Å.
Fractional positions:
Tb 0.0000 0.0000 0.8632  4 Cu 3.04, 4 Zn 3.09
Zn 0.5000 0.5000 0.6031  4 Ho 3.06, 4 Tb 3.09
Ho 0.0000 0.0000 0.3495  4 Cu 3.00, 4 Zn 3.06
Cu 0.5000 0.5000 0.1122  4 Ho 3.00, 4 Tb 3.04

***

[3]
DFT (PBE) results for an optimized crystal structure of Ho4Cu3Tc.

Properties
DFT formation energy = -0.19 eV per atom
symmetry = P4/mmm
N(E_F) = 7.0 states/eV/f.u.
crystal system = tetragonal

a = 3.4368 Å, b = 3.4368 Å, c = 13.8436 Å
α = 90.00°, β = 90.00°, γ = 90.00°
Last column: nearest neighbours and their distance in Å.
Fractional positions:
Ho 0.0000 0.0000 0.1198  4 Tc 2.94, 4 Cu 3.02
Ho 0.0000 0.0000 0.6263  8 Cu 2.98-2.99
Ho 0.0000 0.0000 0.8802  4 Tc 2.94, 4 Cu 3.02
Ho 0.0000 0.0000 0.3737  8 Cu 2.98-2.99
Cu 0.5000 0.5000 0.7504  8 Ho 2.98-3.02
Cu 0.5000 0.5000 0.2496  8 Ho 2.98-3.02
Cu 0.5000 0.5000 0.5000  8 Ho 2.99
Tc 0.5000 0.5000 0.0000  8 Ho 2.94